DFT (PBE) results for a relaxed structure of Li4InPd5. Values from VASP.

```
&SYSTEM
  ibrav = 0, nat = 10, ntyp = 3
/
ATOMIC_SPECIES
Li 6.94 Li.upf
In 114.82 In.upf
Pd 106.42 Pd.upf
ATOMIC_POSITIONS crystal
Li 0.334 0.392 0.870
Li 0.726 0.870 0.608
Li 0.204 0.130 0.392
Li 0.595 0.608 0.130
In 0.160 0.000 0.000
Pd 0.892 0.396 0.732
Pd 0.288 0.732 0.604
Pd 0.623 0.268 0.396
Pd 0.020 0.604 0.268
Pd 0.669 0.000 0.000
CELL_PARAMETERS angstrom
5.144 0.000 0.000
2.572 5.492 0.000
2.572 0.000 5.492
```

Properties
Its electronic total energy is -3.868 eV/atom. As for the size of the total moment: 0.000 μB per atom. For the density of states at the Fermi level, the calculation gives 0.490 states/eV/atom. The value obtained for the formation energy is -233 meV per atom.